Entry from OQMD via LeMat-Bulk: an optimized crystal structure of TaCoB (PBE).

abc: 3.892 3.892 3.892
angles: 60.00 60.00 60.00
Atoms (fractional coordinates):
Ta (0.000, 0.000, 0.000)
Co (0.250, 0.250, 0.250)
B (0.750, 0.750, 0.750)

- final energy (eV per atom) = -7.839

=====

Entry from OQMD via LeMat-Bulk: an optimized crystal structure of SmErNO (PBE).

abc: 4.912 4.912 4.839
angles: 90.00 90.00 90.00
Atoms (fractional coordinates):
Sm (0.250, 0.750, 0.000)
Sm (0.750, 0.250, 0.000)
Er (0.250, 0.250, 0.500)
Er (0.750, 0.750, 0.500)
N (0.250, 0.250, 0.002)
N (0.750, 0.750, 0.998)
O (0.250, 0.750, 0.500)
O (0.750, 0.250, 0.500)

- excess energy over the best structure of this formula in the dataset (meV/atom) = 0.0

=====

Entry from OQMD via LeMat-Bulk: an optimized crystal structure of Tb2ErAl3Si2Pt (PBE).

abc: 4.224 6.912 6.912
angles: 119.97 90.00 90.00
Atoms (fractional coordinates):
Tb (0.000, 0.209, 0.791)
Tb (0.000, 0.791, 0.209)
Er (0.000, 0.374, 0.374)
Al (0.500, 0.028, 0.028)
Al (0.500, 0.553, 0.790)
Al (0.500, 0.790, 0.553)
Si (0.500, 0.126, 0.457)
Si (0.500, 0.457, 0.126)
Pt (0.000, 0.787, 0.787)

- final energy (eV per atom) = -5.539

=====

Entry from OQMD via LeMat-Bulk: an optimized crystal structure of PmTcB (PBE).

abc: 4.204 4.204 4.204
angles: 60.00 60.00 60.00
Atoms (fractional coordinates):
Pm (0.000, 0.000, 0.000)
Tc (0.500, 0.500, 0.500)
B (0.250, 0.250, 0.250)

- excess energy over the best structure of this formula in the dataset (meV/atom) = 0.0

=====

Please write out number 4 again, unchanged.
Entry from OQMD via LeMat-Bulk: an optimized crystal structure of PmTcB (PBE).

abc: 4.204 4.204 4.204
angles: 60.00 60.00 60.00
Atoms (fractional coordinates):
Pm (0.000, 0.000, 0.000)
Tc (0.500, 0.500, 0.500)
B (0.250, 0.250, 0.250)

- excess energy over the best structure of this formula in the dataset (meV/atom) = 0.0